## MnTcPb2 (meta-GGA SCAN)

Data for a crystal of MnTcPb2 relaxed with PBEsol.

**Relative energy among the computed polymorphs**: 0.097 eV/f.u.

abc: 3.5313 4.2767 5.1511
angles: 90.00 90.00 90.00
Site moments in Bohr magnetons follow the coordinates.
Fractional coordinates of all 4 atoms:
Mn1 0.0000 0.5000 0.5000  3.96
Pb1 0.0000 0.0000 0.0000  -0.02
Pb2 0.5000 0.0000 0.5000  -0.06
Tc1 0.5000 0.5000 0.0000  0.38

## Mn2TcPb (meta-GGA SCAN)

Data for a crystal of Mn2TcPb relaxed with PBEsol.

abc: 2.9679 4.6279 4.7945
angles: 101.09 90.00 108.70
Site moments in Bohr magnetons follow the coordinates.
Fractional coordinates of all 4 atoms:
Mn1 0.9961 0.9922 0.9912  2.84
Mn2 0.7424 0.4847 0.2132  3.23
Pb1 0.5002 0.0005 0.4890  -0.07
Tc1 0.2613 0.5227 0.8067  -0.76

## Mn2TcPb (meta-GGA SCAN)

Data for a crystal of Mn2TcPb relaxed with PBEsol.

abc: 3.2677 3.2677 5.7211
angles: 90.00 90.00 90.00
Site moments in Bohr magnetons follow the coordinates.
Fractional coordinates of all 4 atoms:
Mn1 0.0000 0.0000 0.7135  3.48
Mn2 0.0000 0.0000 0.2865  3.48
Pb1 0.5000 0.5000 0.0000  -0.06
Tc1 0.5000 0.5000 0.5000  -0.24

| no. | energy relative to the elements (meV per atom) |
| --- | --- |
| 1 | 570 |
| 2 | 299 |
| 3 | 190 |